1.
A relaxed structure of SrFeS3. Source: Alexandria, functional PBEsol.

a b c (Å): 4.574 4.574 4.574
angles (deg): 90.00 90.00 90.00
Positions (direct):
Sr1 0.500 0.500 0.500
S1 0.000 0.500 0.000
S2 0.000 0.000 0.500
S3 0.500 0.000 0.000
Fe1 0.000 0.000 0.000

Output
formation energy without anion corrections	-4.3	eV/f.u.
SG	No. 221

---

2.
A relaxed structure of Sr2YAg. Source: Alexandria, functional PBEsol.

a b c (Å): 4.400 5.333 5.497
angles (deg): 90.00 90.00 90.00
Positions (direct):
Ag1 0.000 0.500 0.500
Sr1 0.000 0.000 0.000
Sr2 0.500 0.000 0.500
Y1 0.500 0.500 0.000

Output
SG	No. 47
calculated formation energy	0.183	eV per atom
distance to the lowest polymorph of the same formula	253.4	meV per atom

---

| no. | E_tot (eV per atom) |
| --- | --- |
| 1 | -5.651 |
| 2 | -3.270 |